Density functional theory data (PBE-GGA) for a relaxed KSrPrBr6 crystal.

Geometry as extended XYZ:
```
18
Lattice="7.834 0.000 0.000 -3.917 6.784 0.000 0.000 0.000 14.106" Properties=species:S:1:pos:R:3 pbc="T T T"
Pr 0.000 4.523 10.579
Pr 3.917 2.261 3.526
Br 1.346 2.513 12.243
Br 4.984 0.091 5.191
Br 2.850 0.091 1.862
Br -1.346 2.513 8.915
Br 2.413 4.362 8.915
Br 2.571 4.271 1.862
Br 5.263 4.271 5.191
Br -2.413 4.362 12.243
Br 1.504 2.422 5.191
Br 6.330 2.422 1.862
Br 1.067 6.693 12.243
Br -1.067 6.693 8.915
Sr 0.000 4.523 3.526
Sr 3.917 2.261 10.579
K 0.000 0.000 0.000
K 0.000 0.000 7.053
```

Summary:
Its density of states at the Fermi level is 0.000 states/eV/f.u. As for the volume: 41.647 Å³/atom. The calculation puts the formation energy from raw total energies at -17.51 eV per formula unit. The value obtained for the density is 3.31 g cm⁻³.

=====

Density functional theory data (PBE-GGA) for a relaxed K2PtBr4 crystal.

Geometry as extended XYZ:
```
7
Lattice="5.372 0.000 0.000 0.000 5.372 0.000 2.686 2.686 7.988" Properties=species:S:1:pos:R:3 pbc="T T T"
Br 2.686 2.686 5.463
Br 0.000 2.686 0.000
Br 5.372 5.372 2.526
Br 2.686 0.000 0.000
Pt 0.000 0.000 0.000
K 5.372 5.372 5.869
K 2.686 2.686 2.119
```

Summary:
Its density of states at the Fermi level is 0.432 states/eV/f.u. As for the volume: 32.929 Å³/atom. The calculation puts the formation energy from raw total energies at -7.32 eV per formula unit. The value obtained for the density is 4.27 g cm⁻³.

=====

Density functional theory data (PBE-GGA) for a relaxed KPtBr2 crystal.

Geometry as extended XYZ:
```
4
Lattice="6.010 -0.067 -0.003 1.611 5.791 0.003 -2.910 -4.062 3.342" Properties=species:S:1:pos:R:3 pbc="T T T"
Br 3.236 2.430 0.000
Br 0.575 0.432 0.000
K 3.456 -0.633 1.669
Pt 1.256 2.296 1.672
```

Summary:
Its density of states at the Fermi level is 1.815 states/eV/f.u. As for the volume: 29.178 Å³/atom. The calculation puts the formation energy from raw total energies at -2.30 eV per formula unit. The value obtained for the density is 5.61 g cm⁻³.

=====

Density functional theory data (PBE-GGA) for a relaxed KPt3Br crystal.

Geometry as extended XYZ:
```
5
Lattice="-2.493 -4.255 -1.399 4.447 -2.543 -0.192 -0.534 -1.307 4.928" Properties=species:S:1:pos:R:3 pbc="T T T"
K 0.000 0.000 0.000
Pt -1.247 -2.127 -0.699
Pt -0.267 -0.654 2.464
Pt 2.224 -1.271 -0.096
Br 0.710 -4.052 1.668
```

Summary:
Its density of states at the Fermi level is 12.419 states/eV/f.u. As for the volume: 26.943 Å³/atom. The calculation puts the formation energy from raw total energies at 10.65 eV per formula unit. The value obtained for the density is 8.68 g cm⁻³.

=====

Density functional theory data (PBE-GGA) for a relaxed KPtBr2 crystal.

Geometry as extended XYZ:
```
4
Lattice="1.150 8.383 2.705 3.148 6.028 5.716 5.158 6.947 2.012" Properties=species:S:1:pos:R:3 pbc="T T T"
K 0.000 0.000 0.000
Pt 4.728 10.679 5.217
Br 1.133 2.560 1.251
Br 8.322 18.798 9.183
```

Summary:
Its density of states at the Fermi level is 5.185 states/eV/f.u. As for the volume: 34.341 Å³/atom. The calculation puts the formation energy from raw total energies at -0.53 eV per formula unit. The value obtained for the density is 4.76 g cm⁻³.

=====

Density functional theory data (PBE-GGA) for a relaxed K4PtBr crystal.

Geometry as extended XYZ:
```
6
Lattice="-6.022 -2.258 -1.973 -5.375 0.861 3.952 -4.811 4.356 -1.768" Properties=species:S:1:pos:R:3 pbc="T T T"
Br 0.000 0.000 0.000
K -8.761 1.540 2.041
K -8.481 3.275 -0.799
K -6.093 1.113 0.079
K -9.082 -0.008 -0.901
Pt -12.156 2.220 0.158
```

Summary:
Its density of states at the Fermi level is 2.331 states/eV/f.u. As for the volume: 35.876 Å³/atom. The calculation puts the formation energy from raw total energies at 0.53 eV per formula unit. The value obtained for the density is 3.33 g cm⁻³.